Record 1
Density functional theory data (GGA-PBE) for crystalline CuS at its relaxed geometry.

Values from the calculation:
- Total energy: -4.2193 eV per atom
- D(E_F): 0.9376 states/eV/atom
- Size of the total moment: 0.00 μB per formula unit

a b c (Å): 6.402 6.402 6.402
angles (deg): 90.00 90.00 90.00
Space group Pm-3n (No. 223)
Asymmetric unit:
1 Cu 0.000 0.250 0.500 x6
2 S 0.000 0.500 0.250 x6

***

Record 2
Density functional theory data (GGA-PBE) for crystalline CuS at its relaxed geometry.

Values from the calculation:
- Total energy: -4.1517 eV per atom
- D(E_F): 0.8807 states/eV/atom
- Size of the total moment: 0.00 μB per formula unit

a b c (Å): 7.100 7.100 7.100
angles (deg): 90.00 90.00 90.00
Space group I-43m (No. 217)
Asymmetric unit:
1 Cu 0.149 0.149 0.851 x8
2 S 0.173 0.173 0.173 x8

***

Record 3
Density functional theory data (GGA-PBE) for crystalline Cu2S at its relaxed geometry.

Values from the calculation:
- Total energy: -4.1525 eV per atom
- D(E_F): 0.0703 states/eV/atom
- Size of the total moment: 0.00 μB per formula unit

a b c (Å): 6.994 6.994 3.799
angles (deg): 90.00 90.00 90.00
Space group I4_1/amd (No. 141, origin choice 2)
Asymmetric unit:
1 Cu 0.000 0.000 0.000 x8
2 S 0.000 0.250 0.375 x4

***

Record 4
Density functional theory data (GGA-PBE) for crystalline Cu2S at its relaxed geometry.

Values from the calculation:
- Total energy: -4.2318 eV per atom
- Size of the total moment: 0.00 μB per formula unit

a b c (Å): 4.095 4.095 10.652
angles (deg): 90.00 90.00 90.00
Space group P4_32_12 (No. 96)
Asymmetric unit:
1 Cu 0.077 0.417 0.081 x8
2 S 0.078 0.078 0.500 x4

***

Record 5
Density functional theory data (GGA-PBE) for crystalline Cu2S at its relaxed geometry.

Values from the calculation:
- Total energy: -4.1943 eV per atom
- D(E_F): 0.0521 states/eV/atom
- Size of the total moment: 0.00 μB per formula unit

a b c (Å): 3.699 6.136 4.107
angles (deg): 90.00 90.00 90.00
Space group Imm2 (No. 44)
Asymmetric unit:
1 Cu 0.000 0.208 0.000 x4
2 S 0.000 0.500 0.675 x2

***

Record 6
Density functional theory data (GGA-PBE) for crystalline Cu2S at its relaxed geometry.

Values from the calculation:
- Total energy: -4.1727 eV per atom
- D(E_F): 0.0985 states/eV/atom
- Size of the total moment: 0.00 μB per formula unit

a b c (Å): 7.468 3.769 6.652
angles (deg): 90.00 105.52 90.00
Space group C2/m (No. 12)
Asymmetric unit:
1 Cu 0.093 0.000 0.236 x4
2 Cu 0.138 0.500 0.929 x4
3 S 0.201 0.000 0.714 x4

***

Record 7
Density functional theory data (GGA-PBE) for crystalline CuS2 at its relaxed geometry.

Values from the calculation:
- Total energy: -4.1415 eV per atom
- D(E_F): 0.4272 states/eV/atom
- Size of the total moment: 0.00 μB per formula unit

a b c (Å): 3.759 3.759 9.012
angles (deg): 90.00 90.00 90.00
Space group I-4m2 (No. 119)
Asymmetric unit:
1 Cu 0.000 0.000 0.000 x2
2 S 0.000 0.500 0.138 x4

***

Record 8
Density functional theory data (GGA-PBE) for crystalline Cu2S at its relaxed geometry.

Values from the calculation:
- Total energy: -4.2245 eV per atom
- Size of the total moment: 0.00 μB per formula unit

a b c (Å): 7.395 6.897 5.016
angles (deg): 90.00 91.70 90.00
Space group C2/m (No. 12)
Asymmetric unit:
1 Cu 0.000 0.000 0.000 x2
2 Cu 0.000 0.000 0.500 x2
3 Cu 0.250 0.250 0.000 x4
4 S 0.247 0.000 0.268 x4

***

Record 9
Density functional theory data (GGA-PBE) for crystalline CuS at its relaxed geometry.

Values from the calculation:
- Total energy: -4.3100 eV per atom
- D(E_F): 0.3203 states/eV/atom
- Size of the total moment: 0.00 μB per formula unit

a b c (Å): 3.779 6.631 16.396
angles (deg): 90.00 90.00 90.00
Space group Cmcm (No. 63)
Asymmetric unit:
1 Cu 0.000 0.116 0.250 x4
2 Cu 0.000 0.161 0.608 x8
3 S 0.000 0.214 0.750 x4
4 S 0.000 0.495 0.564 x8

***

Record 10
Density functional theory data (GGA-PBE) for crystalline Cu2S at its relaxed geometry.

Values from the calculation:
- Total energy: -4.2056 eV per atom
- D(E_F): 0.0185 states/eV/atom
- Size of the total moment: 0.00 μB per formula unit

a b c (Å): 4.042 6.827 7.411
angles (deg): 90.00 94.97 90.00
Space group C2/c (No. 15)
Asymmetric unit:
1 Cu 0.000 0.015 0.250 x4
2 Cu 0.250 0.250 0.500 x4
3 S 0.000 0.366 0.250 x4

***

Record 11
Density functional theory data (GGA-PBE) for crystalline Cu3S2 at its relaxed geometry.

Values from the calculation:
- Total energy: -4.2023 eV per atom
- D(E_F): 0.8063 states/eV/atom
- Size of the total moment: 0.00 μB per formula unit

a b c (Å): 10.223 5.965 6.158
angles (deg): 90.00 125.50 90.00
Space group C2/c (No. 15)
Asymmetric unit:
1 Cu 0.000 0.006 0.250 x4
2 Cu 0.133 0.376 0.764 x8
3 S 0.125 0.253 0.135 x8

***

Record 12
Density functional theory data (GGA-PBE) for crystalline CuS2 at its relaxed geometry.

Values from the calculation:
- Total energy: -4.2185 eV per atom
- D(E_F): 0.5450 states/eV/atom
- Size of the total moment: 0.00 μB per formula unit

a b c (Å): 4.708 5.848 3.635
angles (deg): 90.00 90.00 90.00
Space group Pnnm (No. 58)
Asymmetric unit:
1 Cu 0.000 0.000 0.000 x2
2 S 0.173 0.397 0.000 x4

***

Number 4 is which compound?
Cu2S